This record from Alexandria describes an optimized crystal structure of ScPa2Se3. The functional is PBE. Values from VASP.

Output
The formation energy without anion corrections comes out at -1.317 eV per atom.

Geometry as Quantum ESPRESSO input:
```
&SYSTEM
  ibrav = 0, nat = 12, ntyp = 3
/
ATOMIC_SPECIES
Sc 44.96 Sc.upf
Pa 231.04 Pa.upf
Se 78.96 Se.upf
ATOMIC_POSITIONS angstrom
Sc 3.359 3.892 0.000
Sc 3.359 -3.892 0.000
Pa -1.135 0.000 3.447
Pa 2.224 1.898 3.447
Pa 3.359 0.000 0.000
Pa 2.224 -1.898 3.447
Se -0.061 2.020 5.265
Se 1.029 0.000 1.586
Se -0.061 -2.020 5.265
Se 4.510 2.020 1.630
Se 3.420 0.000 5.309
Se 4.510 -2.020 1.630
CELL_PARAMETERS angstrom
3.359 -5.860 0.000
3.359 5.860 0.000
-2.270 0.000 6.895
```



This record from Alexandria describes an optimized crystal structure of Sm3NbN4. The functional is PBE. Values from VASP.

Output
The formation energy without anion corrections comes out at -1.256 eV per atom.

Geometry as Quantum ESPRESSO input:
```
&SYSTEM
  ibrav = 0, nat = 16, ntyp = 3
/
ATOMIC_SPECIES
Sm 150.36 Sm.upf
Nb 92.91 Nb.upf
N 14.01 N.upf
ATOMIC_POSITIONS angstrom
Sm 0.000 1.061 5.081
Sm 1.983 2.243 2.542
Sm 2.033 4.554 0.000
Sm 4.016 5.736 2.539
Sm 5.999 4.554 0.000
Sm 6.050 2.243 2.542
Nb 0.000 5.579 2.348
Nb 4.016 1.218 4.889
N 0.000 0.811 2.507
N 0.000 5.578 0.295
N 1.850 4.693 2.500
N 2.166 2.104 5.042
N 4.016 1.219 2.836
N 4.016 5.986 5.048
N 5.866 2.104 5.042
N 6.182 4.693 2.500
CELL_PARAMETERS angstrom
8.032 0.000 0.000
0.000 6.797 0.000
0.000 0.000 5.083
```



This record from Alexandria describes an optimized crystal structure of La4CS2O. The functional is PBE. Values from VASP.

Output
The formation energy without anion corrections comes out at -1.809 eV per atom.

Geometry as Quantum ESPRESSO input:
```
&SYSTEM
  ibrav = 0, nat = 8, ntyp = 4
/
ATOMIC_SPECIES
La 138.91 La.upf
C 12.01 C.upf
S 32.06 S.upf
O 16.00 O.upf
ATOMIC_POSITIONS angstrom
La 1.125 0.000 1.446
La -0.046 1.972 5.216
La 4.540 1.972 1.455
La 3.369 0.000 5.225
C 0.000 1.972 0.000
S -1.131 0.000 3.336
S 2.247 1.972 3.336
O 3.378 0.000 0.000
CELL_PARAMETERS angstrom
6.756 0.000 0.000
0.000 3.945 0.000
-2.262 0.000 6.671
```



This record from Alexandria describes an optimized crystal structure of YSc5Sb4. The functional is PBE. Values from VASP.

Output
The formation energy without anion corrections comes out at -0.549 eV per atom.

Geometry as Quantum ESPRESSO input:
```
&SYSTEM
  ibrav = 0, nat = 10, ntyp = 3
/
ATOMIC_SPECIES
Y 88.91 Y.upf
Sc 44.96 Sc.upf
Sb 121.76 Sb.upf
ATOMIC_POSITIONS angstrom
Y 0.000 0.000 0.000
Sc 2.426 2.479 1.418
Sc 2.426 2.479 4.252
Sc 2.426 -2.479 1.418
Sc 2.426 -2.479 4.252
Sc 4.853 0.000 2.835
Sb 1.805 0.000 2.835
Sb 4.853 1.709 0.000
Sb 4.853 -1.709 0.000
Sb 7.900 0.000 2.835
CELL_PARAMETERS angstrom
4.853 -4.958 0.000
4.853 4.958 0.000
0.000 0.000 5.670
```



This record from Alexandria describes an optimized crystal structure of Li2YMn. The functional is PBE. Values from VASP.

Output
The calculation puts the energy above the lowest structure with this stoichiometry at 0.0688 eV/atom. The formation energy comes out at 0.272 eV/atom.

Geometry as Quantum ESPRESSO input:
```
&SYSTEM
  ibrav = 0, nat = 4, ntyp = 3
/
ATOMIC_SPECIES
Li 6.94 Li.upf
Y 88.91 Y.upf
Mn 54.94 Mn.upf
ATOMIC_POSITIONS angstrom
Li 2.039 0.000 2.424
Li 0.000 2.039 2.424
Y 0.000 0.000 0.000
Mn 0.000 0.000 4.848
CELL_PARAMETERS angstrom
-2.039 2.039 4.848
2.039 -2.039 4.848
2.039 2.039 -4.848
```



This record from Alexandria describes an optimized crystal structure of Y3GaBi. The functional is PBE. Values from VASP.

Output
The calculation puts the energy above the lowest structure with this stoichiometry at 0.1772 eV/atom. The formation energy comes out at -0.322 eV/atom.

Geometry as Quantum ESPRESSO input:
```
&SYSTEM
  ibrav = 0, nat = 5, ntyp = 3
/
ATOMIC_SPECIES
Y 88.91 Y.upf
Ga 69.72 Ga.upf
Bi 208.98 Bi.upf
ATOMIC_POSITIONS angstrom
Y 0.000 0.000 2.711
Y 0.000 2.711 0.000
Y 2.711 0.000 0.000
Ga 0.000 0.000 0.000
Bi 2.711 2.711 2.711
CELL_PARAMETERS angstrom
5.421 0.000 0.000
0.000 5.421 0.000
0.000 0.000 5.421
```



This record from Alexandria describes an optimized crystal structure of Tb6SmMg. The functional is PBE. Values from VASP.

Output
The calculation puts the energy above the lowest structure with this stoichiometry at 0.1017 eV/atom. The formation energy comes out at 0.126 eV/atom.

Geometry as Quantum ESPRESSO input:
```
&SYSTEM
  ibrav = 0, nat = 8, ntyp = 3
/
ATOMIC_SPECIES
Tb 158.93 Tb.upf
Sm 150.36 Sm.upf
Mg 24.30 Mg.upf
ATOMIC_POSITIONS angstrom
Tb 0.049 1.605 0.297
Tb 1.008 3.117 3.381
Tb 2.170 5.946 1.522
Tb 3.013 -0.257 4.780
Tb 4.175 2.572 2.922
Tb 5.134 4.083 6.006
Sm -0.290 -0.321 3.151
Mg 2.882 3.165 0.000
CELL_PARAMETERS angstrom
6.357 0.000 0.000
-0.594 6.330 0.000
-0.580 -0.642 6.302
```



This record from Alexandria describes an optimized crystal structure of NbAsSe2F. The functional is PBE. Values from VASP.

Output
The calculation puts the energy above the lowest structure with this stoichiometry at 0.0000 eV/atom. The formation energy without anion corrections comes out at -0.163 eV per atom.

Geometry as Quantum ESPRESSO input:
```
&SYSTEM
  ibrav = 0, nat = 5, ntyp = 4
/
ATOMIC_SPECIES
Nb 92.91 Nb.upf
As 74.92 As.upf
Se 78.96 Se.upf
F 19.00 F.upf
ATOMIC_POSITIONS angstrom
Nb 0.000 0.000 0.000
As 0.000 0.000 2.537
Se 0.000 2.467 0.000
Se 2.467 0.000 0.000
F 2.467 2.467 2.537
CELL_PARAMETERS angstrom
4.934 0.000 0.000
0.000 4.934 0.000
0.000 0.000 5.074
```



This record from Alexandria describes an optimized crystal structure of Y6TeAs2P3. The functional is PBE. Values from VASP.

Output
The formation energy without anion corrections comes out at -1.587 eV per atom.

Geometry as Quantum ESPRESSO input:
```
&SYSTEM
  ibrav = 0, nat = 12, ntyp = 4
/
ATOMIC_SPECIES
Y 88.91 Y.upf
Te 127.60 Te.upf
As 74.92 As.upf
P 30.97 P.upf
ATOMIC_POSITIONS angstrom
Y -0.416 0.000 1.826
Y 5.015 0.000 3.340
Y 4.215 0.000 7.331
Y 11.768 0.000 0.697
Y 10.969 0.000 4.687
Y 16.400 0.000 6.201
Te 7.992 0.000 4.014
As 1.376 0.000 6.683
As 14.608 0.000 1.344
P 2.308 0.000 2.671
P 8.956 0.000 0.000
P 13.675 0.000 5.356
CELL_PARAMETERS angstrom
8.956 -2.048 0.000
8.956 2.048 0.000
-1.929 0.000 8.027
```



This record from Alexandria describes an optimized crystal structure of Np2U3S8. The functional is PBE. Values from VASP.

Output
The calculation puts the energy above the lowest structure with this stoichiometry at 0.0199 eV/atom. The formation energy without anion corrections comes out at -1.301 eV per atom.

Geometry as Quantum ESPRESSO input:
```
&SYSTEM
  ibrav = 0, nat = 13, ntyp = 3
/
ATOMIC_SPECIES
Np 237.00 Np.upf
U 238.03 U.upf
S 32.06 S.upf
ATOMIC_POSITIONS angstrom
Np 4.651 3.540 0.000
Np 4.651 -3.540 0.000
U 2.114 0.000 2.342
U 4.651 0.000 0.000
U 7.188 0.000 2.342
S 4.651 4.985 2.342
S 2.416 1.617 0.000
S 2.416 -1.617 0.000
S 4.651 1.563 2.342
S 4.651 -1.563 2.342
S 6.886 1.617 0.000
S 6.886 -1.617 0.000
S 4.651 -4.985 2.342
CELL_PARAMETERS angstrom
4.651 -6.679 0.000
4.651 6.679 0.000
0.000 0.000 4.684
```



This record from Alexandria describes an optimized crystal structure of Rb2SbPtBr6. The functional is PBE. Values from VASP.

Output
The formation energy without anion corrections comes out at -0.873 eV per atom.

Geometry as Quantum ESPRESSO input:
```
&SYSTEM
  ibrav = 0, nat = 10, ntyp = 4
/
ATOMIC_SPECIES
Rb 85.47 Rb.upf
Sb 121.76 Sb.upf
Pt 195.08 Pt.upf
Br 79.90 Br.upf
ATOMIC_POSITIONS angstrom
Rb 3.903 0.000 2.748
Rb 0.000 3.903 2.748
Sb 0.000 0.000 0.000
Pt 0.000 0.000 5.497
Br 0.000 0.000 2.848
Br 2.021 2.021 0.000
Br 1.882 -1.882 5.497
Br -1.882 1.882 5.497
Br 0.000 0.000 8.146
Br 1.882 1.882 5.497
CELL_PARAMETERS angstrom
-3.903 3.903 5.497
3.903 -3.903 5.497
3.903 3.903 -5.497
```



This record from Alexandria describes an optimized crystal structure of KMgMo2. The functional is PBE. Values from VASP.

Output
The formation energy comes out at 0.620 eV/atom.

Geometry as Quantum ESPRESSO input:
```
&SYSTEM
  ibrav = 0, nat = 4, ntyp = 3
/
ATOMIC_SPECIES
K 39.10 K.upf
Mg 24.30 Mg.upf
Mo 95.94 Mo.upf
ATOMIC_POSITIONS angstrom
K 0.000 0.000 0.000
Mg 1.625 0.000 3.352
Mo 0.000 0.000 5.783
Mo 1.625 0.000 7.682
CELL_PARAMETERS angstrom
1.625 -2.488 0.000
1.625 2.488 0.000
0.000 0.000 10.772
```